A:
DFT (GGA-PBE) results for a relaxed Zn2Hg2Br crystal.

Cell: 5.1108 5.1108 10.2035 Å, 90.00 90.00 90.00°
Closest atoms and distances in Å follow each position.
Space group I4/mmm (No. 139)
One atom of each set of equivalent atoms:
Zn (0.0000, 0.5000, 0.2500)  4 Hg 2.76
Hg (0.0000, 0.0000, 0.1473)  4 Zn 2.76, 1 Hg 3.00
Br (0.0000, 0.0000, 0.5000)  10 Hg 3.60-3.91, 8 Zn 3.61

Crystal system: tetragonal
Total magnetization: 0.00 μB per formula unit

B:
DFT (GGA-PBE) results for a relaxed Zn2Hg2Br crystal.

Cell: 8.0116 8.0116 3.5758 Å, 90.00 90.00 90.00°
Closest atoms and distances in Å follow each position.
Space group P4/mbm (No. 127)
One atom of each set of equivalent atoms:
Zn (0.1163, 0.3837, 0.0000)  1 Zn 2.64, 2 Hg 2.83
Hg (0.1897, 0.6897, 0.5000)  6 Zn 2.83-3.09
Br (0.0000, 0.0000, 0.0000)  4 Zn 3.21, 8 Hg 3.42, 2 Br 3.58

Crystal system: tetragonal
Total magnetization: 0.00 μB per formula unit

C:
DFT (GGA-PBE) results for a relaxed Zn2Hg2Br crystal.

Cell: 8.1923 8.1923 3.5130 Å, 90.00 90.00 90.00°
Closest atoms and distances in Å follow each position.
Space group P4/mbm (No. 127)
One atom of each set of equivalent atoms:
Zn (0.1775, 0.3225, 0.0000)  6 Hg 2.83-3.10
Hg (0.1310, 0.6310, 0.5000)  6 Zn 2.83-3.10, 1 Hg 3.04
Br (0.0000, 0.0000, 0.5000)  4 Hg 3.21, 8 Zn 3.49, 2 Br 3.51

Crystal system: tetragonal
Total magnetization: 0.00 μB per formula unit

Short version: B is the most stable of them.